Record 1
Density functional theory data (PBE-GGA) for crystalline BaPbW2 at its relaxed geometry.

a b c (Å): 2.983 2.983 10.552
angles (deg): 90.00 90.00 90.00
Sites, in units of the cell vectors:
Ba  0.000  0.000  0.000
Pb  0.000  0.000  0.500
W  0.500  0.500  0.276
W  0.500  0.500  0.724

Calculated values
DFT formation energy in kcal/mol of atoms: 35.9
Crystal system: tetragonal
Spin magnetization in μB/atom: 0.00
E_tot in eV per atom: -6.3288
N(E_F) in states/eV per atom: 0.963

Record 2
Density functional theory data (PBE-GGA) for crystalline BaPbW at its relaxed geometry.

a b c (Å): 5.242 5.242 5.242
angles (deg): 60.00 60.00 60.00
Sites, in units of the cell vectors:
Ba  0.000  0.000  0.000
Pb  0.500  0.500  0.500
W  0.750  0.750  0.750

Calculated values
DFT formation energy in kcal/mol of atoms: 28.5
Crystal system: cubic
Spin magnetization in μB/atom: 1.16
E_tot in eV per atom: -4.9603
Energy above the lowest structure with this stoichiometry in meV/atom: 350
N(E_F) in states/eV per atom: 0.720

Record 3
Density functional theory data (PBE-GGA) for crystalline BaPbW2 at its relaxed geometry.

a b c (Å): 3.390 3.390 8.758
angles (deg): 90.00 90.00 90.00
Sites, in units of the cell vectors:
Ba  0.000  0.000  0.000
Pb  0.500  0.500  0.333
W  0.000  0.000  0.572
W  0.500  0.500  0.699

Calculated values
DFT formation energy in kcal/mol of atoms: 12.2
Crystal system: tetragonal
Spin magnetization in μB/atom: 0.00
E_tot in eV per atom: -7.3561
N(E_F) in states/eV per atom: 1.024

Record 4
Density functional theory data (PBE-GGA) for crystalline BaPbW2 at its relaxed geometry.

a b c (Å): 6.094 6.094 2.920
angles (deg): 90.00 90.00 118.33
Sites, in units of the cell vectors:
Ba  0.000  0.000  0.000
Pb  0.500  0.500  0.000
W  0.000  0.500  0.500
W  0.500  0.000  0.500

Calculated values
DFT formation energy in kcal/mol of atoms: 38.3
Crystal system: orthorhombic
Spin magnetization in μB/atom: 0.00
E_tot in eV per atom: -6.2235
N(E_F) in states/eV per atom: 1.043

Record 5
Density functional theory data (PBE-GGA) for crystalline BaPbW at its relaxed geometry.

a b c (Å): 4.868 4.868 4.943
angles (deg): 90.00 90.00 120.00
Sites, in units of the cell vectors:
Ba  0.000  0.000  0.000
Pb  0.667  0.333  0.500
W  0.333  0.667  0.500

Calculated values
DFT formation energy in kcal/mol of atoms: 21.9
Crystal system: hexagonal
Spin magnetization in μB/atom: 0.85
E_tot in eV per atom: -5.2442
Energy above the lowest structure with this stoichiometry in meV/atom: 66
N(E_F) in states/eV per atom: 0.596

Record 6
Density functional theory data (PBE-GGA) for crystalline BaPbW2 at its relaxed geometry.

a b c (Å): 5.518 5.518 6.348
angles (deg): 101.27 101.27 36.76
Sites, in units of the cell vectors:
Ba  0.000  0.000  0.000
Pb  0.500  0.500  0.500
W  0.235  0.235  0.629
W  0.765  0.765  0.371

Calculated values
DFT formation energy in kcal/mol of atoms: 22.0
Crystal system: monoclinic
Spin magnetization in μB/atom: 0.00
E_tot in eV per atom: -6.9322
N(E_F) in states/eV per atom: 0.898

Record 7
Density functional theory data (PBE-GGA) for crystalline Ba2PbW2 at its relaxed geometry.

a b c (Å): 9.476 9.476 3.576
angles (deg): 90.00 90.00 90.00
Sites, in units of the cell vectors:
Ba  0.205  0.295  0.000
Ba  0.295  0.795  0.000
Ba  0.705  0.205  0.000
Ba  0.795  0.705  0.000
Pb  0.000  0.000  0.500
Pb  0.500  0.500  0.500
W  0.082  0.582  0.500
W  0.418  0.082  0.500
W  0.582  0.918  0.500
W  0.918  0.418  0.500

Calculated values
DFT formation energy in kcal/mol of atoms: 23.9
Crystal system: tetragonal
Spin magnetization in μB/atom: 0.00
E_tot in eV per atom: -5.6560
Energy above the lowest structure with this stoichiometry in meV/atom: 457
N(E_F) in states/eV per atom: 0.986

Record 8
Density functional theory data (PBE-GGA) for crystalline BaPbW2 at its relaxed geometry.

a b c (Å): 5.096 5.096 5.096
angles (deg): 60.00 60.00 60.00
Sites, in units of the cell vectors:
Ba  0.000  0.000  0.000
Pb  0.250  0.250  0.250
W  0.500  0.500  0.500
W  0.750  0.750  0.750

Calculated values
DFT formation energy in kcal/mol of atoms: 32.7
Crystal system: cubic
Spin magnetization in μB/atom: 0.06
E_tot in eV per atom: -6.4645
N(E_F) in states/eV per atom: 0.602

Record 9
Density functional theory data (PBE-GGA) for crystalline BaPbW2 at its relaxed geometry.

a b c (Å): 3.543 5.015 5.198
angles (deg): 90.00 90.00 90.00
Sites, in units of the cell vectors:
Ba  0.000  0.000  0.000
Pb  0.500  0.000  0.500
W  0.000  0.500  0.500
W  0.500  0.500  0.000

Calculated values
DFT formation energy in kcal/mol of atoms: 37.9
Crystal system: orthorhombic
Spin magnetization in μB/atom: 0.00
E_tot in eV per atom: -6.2399
N(E_F) in states/eV per atom: 1.077

Record 10
Density functional theory data (PBE-GGA) for crystalline BaPbW at its relaxed geometry.

a b c (Å): 8.276 8.276 8.276
angles (deg): 157.76 157.76 31.65
Sites, in units of the cell vectors:
Ba  0.000  0.000  0.000
Pb  0.299  0.299  0.000
W  0.666  0.666  0.000

Calculated values
DFT formation energy in kcal/mol of atoms: 22.3
Crystal system: tetragonal
Spin magnetization in μB/atom: 0.00
E_tot in eV per atom: -5.2293
Energy above the lowest structure with this stoichiometry in meV/atom: 81
N(E_F) in states/eV per atom: 0.599

Record 11
Density functional theory data (PBE-GGA) for crystalline Ba2PbW at its relaxed geometry.

a b c (Å): 5.942 5.942 4.096
angles (deg): 90.00 90.00 90.00
Sites, in units of the cell vectors:
Ba  0.000  0.500  0.000
Ba  0.500  0.000  0.000
Pb  0.000  0.000  0.500
W  0.500  0.500  0.500

Calculated values
DFT formation energy in kcal/mol of atoms: 20.0
Crystal system: tetragonal
Spin magnetization in μB/atom: 0.94
E_tot in eV per atom: -4.2587
N(E_F) in states/eV per atom: 0.838

Record 12
Density functional theory data (PBE-GGA) for crystalline BaPbW2 at its relaxed geometry.

a b c (Å): 11.132 11.132 11.132
angles (deg): 16.03 16.03 16.03
Sites, in units of the cell vectors:
Ba  0.000  0.000  0.000
Pb  0.500  0.500  0.500
W  0.240  0.240  0.240
W  0.760  0.760  0.760

Calculated values
DFT formation energy in kcal/mol of atoms: 35.3
Crystal system: trigonal
Spin magnetization in μB/atom: 0.00
E_tot in eV per atom: -6.3542
N(E_F) in states/eV per atom: 0.614

Question: DFT formation energy of number 2 (BaPbW)?
Answer: 28.5 kcal/mol of atoms